# 1
DFT (GGA-PBEsol) results for a relaxed structure of Cu2ReSe.

For the density of states at the Fermi level, the calculation gives 2.2 states/eV/f.u. Its energy relative to the elements, uncorrected is 0.549 eV per atom. Its total magnetic moment is 0.0 μB per cell. Its crystal system is orthorhombic.

Geometry as POSCAR:
```
Cu2ReSe
1.0
-1.043 2.379 -0.764
-1.731 -2.074 0.187
-1.504 2.002 8.283
Re Cu Se
1 2 1
direct
0.000 0.000 0.512 Re
0.000 0.000 0.982 Cu
0.500 0.500 0.757 Cu
0.500 0.500 0.249 Se
```

***

# 2
DFT (GGA-PBEsol) results for a relaxed structure of BaGa2Rh2.

For the density of states at the Fermi level, the calculation gives 1.5 states/eV/f.u. As for the formation energy: -603 meV per atom. Its total magnetic moment is 0.0 μB per cell. Its crystal system is tetragonal.

Geometry as POSCAR:
```
BaGa2Rh2
1.0
4.376 0.000 0.000
0.000 4.376 0.000
-2.188 -2.188 5.183
Ba Ga Rh
1 2 2
direct
0.000 0.000 0.000 Ba
0.640 0.640 0.280 Ga
0.360 0.360 0.720 Ga
0.250 0.750 0.500 Rh
0.750 0.250 0.500 Rh
```

***

- Which value of total magnetic moment does entry 1 give?
  0.0 μB per cell